Record 1
{
  "formula": "CrCoSi4",
  "functional": "PBE-GGA",
  "state": "relaxed",
  "mass_density_g_cm3": 4.79,
  "space_group": "F-43m, No. 216",
  "raw_formation_energy_ev_per_fu": 2.8,
  "lattice": [[-3.7588, -2.1608, -2.0191], [-4.4369, 1.4447, 1.0493], [-2.6039, 2.3048, -3.2836]],
  "species": ["Cr", "Co", "Si", "Si", "Si", "Si"],
  "fractional_positions": [[0.0000, 0.0000, 0.0000], [0.7500, 0.7500, 0.7500], [0.8748, 0.3751, 0.3751], [0.3751, 0.3751, 0.8748], [0.3751, 0.8748, 0.3751], [0.3751, 0.3751, 0.3751]]
}


Record 2
{
  "formula": "CrCo2Si",
  "functional": "PBE-GGA",
  "state": "relaxed",
  "mass_density_g_cm3": 7.38,
  "space_group": "R3m, No. 160",
  "raw_formation_energy_ev_per_fu": -0.1,
  "lattice": [[7.9533, -0.0071, -0.0041], [7.5418, 2.5251, -0.0041], [7.5418, 1.2256, 2.2077]],
  "species": ["Co", "Co", "Cr", "Si"],
  "fractional_positions": [[0.0032, 0.0032, 0.0032], [0.2495, 0.2495, 0.2495], [0.5003, 0.5003, 0.5003], [0.7470, 0.7470, 0.7470]]
}


Record 3
{
  "formula": "CrCoSi",
  "functional": "PBE-GGA",
  "state": "relaxed",
  "mass_density_g_cm3": 5.95,
  "space_group": "F-43m, No. 216",
  "raw_formation_energy_ev_per_fu": -0.6,
  "lattice": [[3.8008, 0.0000, 0.0000], [1.9004, 3.2916, 0.0000], [1.9004, 1.0972, 3.1033]],
  "species": ["Co", "Cr", "Si"],
  "fractional_positions": [[0.7500, 0.7500, 0.7500], [0.0000, 0.0000, 0.0000], [0.5000, 0.5000, 0.5000]]
}